The following is a PBE calculation of a relaxed CeIn2Ir crystal, from Alexandria.

a = 3.1301 Å, b = 3.1301 Å, c = 10.9943 Å
α = 81.82°, β = 81.82°, γ = 60.00°
Each line ends with the local moment (μB).
Fractional positions:
In 0.1004 0.1004 0.6989  0.00
In 0.8996 0.8996 0.3011  0.00
Ir 0.5000 0.5000 0.5000  -0.04
Ce 0.0000 0.0000 0.0000  0.52

The calculated formation energy is 78.5 kJ/mol of formula units. Its volume is 92 Å³/cell. As for the crystal system: trigonal. The uncorrected energy is -4.8644 eV/atom. The value obtained for the total magnetization is 0.68 Bohr magnetons per cell. As for the density of states at the Fermi level: 1.55 states/eV per atom.